Entry 1:
DFT (PBE) results for Ac3Hg9Pd2 after structural relaxation.

a b c (Å): 5.108 10.280 13.722
angles (deg): 90.00 90.00 90.00
Space group Immm (No. 71)
Symmetry-distinct sites (fractional):
Ac  0.000  0.000  0.000 (multiplicity 2)
Ac  0.000  0.000  0.303 (multiplicity 4)
Hg  0.000  0.284  0.139 (multiplicity 8)
Hg  0.000  0.359  0.359 (multiplicity 8)
Hg  0.000  0.500  0.000 (multiplicity 2)
Pd  0.000  0.147  0.500 (multiplicity 4)

## Properties
DOS(E_F)   7.746 states/eV/f.u.
Size of the total moment   0.0 Bohr magnetons per cell
Mass density   12.44 g/cm³
Formation enthalpy at 0 K   -393 meV/atom

Entry 2:
DFT (PBE) results for Zr2IrRh after structural relaxation.

a b c (Å): 3.951 3.951 9.192
angles (deg): 90.00 90.00 90.00
Space group I-4m2 (No. 119)
Symmetry-distinct sites (fractional):
Zr  0.000  0.000  0.000 (multiplicity 2)
Zr  0.000  0.500  0.250 (multiplicity 2)
Ir  0.000  0.500  0.750 (multiplicity 2)
Rh  0.000  0.000  0.500 (multiplicity 2)

## Properties
DOS(E_F)   3.640 states/eV/f.u.
Size of the total moment   0.0 Bohr magnetons per cell
Mass density   11.05 g/cm³
Formation enthalpy at 0 K   -651 meV/atom

Entry 3:
DFT (PBE) results for Pu2Si6PdPt after structural relaxation.

a b c (Å): 5.8851 5.8851 38.2500
angles (deg): 90.00 90.00 120.00
Space group R-3m (No. 166, hexagonal axes)
Symmetry-distinct sites (fractional):
Pu  0.0000  0.0000  0.1290 (multiplicity 6)
Pu  0.0000  0.0000  0.2761 (multiplicity 6)
Si  0.0614  0.5307  0.7207 (multiplicity 18)
Si  0.0671  0.5335  0.8708 (multiplicity 18)
Pd  0.0000  0.0000  0.0000 (multiplicity 3)
Pd  0.0000  0.0000  0.5000 (multiplicity 3)
Pt  0.0000  0.0000  0.4228 (multiplicity 6)

## Properties
Energy relative to the elements, uncorrected   -3.46 eV per formula unit
DOS(E_F)   14.932 states/eV/f.u.
Size of the total moment   66.9 Bohr magnetons per cell
Mass density   8.32 g/cm³

Entry 4:
DFT (PBE) results for TbPr3Er after structural relaxation.

a b c (Å): 7.261 3.661 25.656
angles (deg): 90.00 90.00 90.00
Space group Pnma (No. 62)
Symmetry-distinct sites (fractional):
Tb  0.124  0.250  0.148 (multiplicity 4)
Pr  0.116  0.250  0.352 (multiplicity 4)
Pr  0.128  0.250  0.951 (multiplicity 4)
Pr  0.132  0.250  0.750 (multiplicity 4)
Er  0.126  0.250  0.549 (multiplicity 4)

## Properties
DOS(E_F)   6.705 states/eV/f.u.
Size of the total moment   0.0 Bohr magnetons per cell
Mass density   7.29 g/cm³
Formation enthalpy at 0 K   17 meV/atom

Entry 5:
DFT (PBE) results for CrCo2Te6 after structural relaxation.

a b c (Å): 6.6420 6.6420 16.3322
angles (deg): 90.00 90.00 120.00
Space group R3 (No. 146, hexagonal axes)
Symmetry-distinct sites (fractional):
Cr  0.0000  0.0000  0.0000 (multiplicity 3)
Co  0.0000  0.0000  0.4996 (multiplicity 3)
Co  0.0000  0.0000  0.6722 (multiplicity 3)
Te  0.0071  0.3266  0.7574 (multiplicity 9)
Te  0.0066  0.6531  0.9200 (multiplicity 9)

## Properties
Energy relative to the elements, uncorrected   -0.94 eV per formula unit
DOS(E_F)   6.940 states/eV/f.u.
Size of the total moment   7.5 Bohr magnetons per cell
Mass density   7.47 g/cm³

Entry 6:
DFT (PBE) results for CaMg3Cu3 after structural relaxation.

a b c (Å): 9.0206 9.0206 4.1243
angles (deg): 90.00 90.00 120.00
Space group P6_3/m (No. 176)
Symmetry-distinct sites (fractional):
Ca  0.3333  0.6667  0.2500 (multiplicity 2)
Mg  0.0461  0.3726  0.7500 (multiplicity 6)
Cu  0.0212  0.1740  0.2500 (multiplicity 6)

## Properties
DOS(E_F)   2.364 states/eV/f.u.
Size of the total moment   0.0 Bohr magnetons per cell
Mass density   3.47 g/cm³
Formation enthalpy at 0 K   29 meV/atom

Entry 7:
DFT (PBE) results for MnIn after structural relaxation.

a b c (Å): 6.236 6.236 6.236
angles (deg): 90.00 90.00 90.00
Space group F-43m (No. 216)
Symmetry-distinct sites (fractional):
Mn  0.000  0.000  0.000 (multiplicity 4)
In  0.250  0.250  0.750 (multiplicity 4)

## Properties
DOS(E_F)   3.361 states/eV/f.u.
Size of the total moment   15.2 Bohr magnetons per cell
Mass density   4.65 g/cm³
Formation enthalpy at 0 K   1138 meV/atom

Entry 8:
DFT (PBE) results for VSi2Ag2 after structural relaxation.

a b c (Å): 7.580 7.580 2.867
angles (deg): 90.00 90.00 90.00
Space group P4/mbm (No. 127)
Symmetry-distinct sites (fractional):
V  0.000  0.000  0.000 (multiplicity 2)
Si  0.178  0.322  0.500 (multiplicity 4)
Ag  0.127  0.627  0.000 (multiplicity 4)

## Properties
Energy relative to the elements, uncorrected   2.62 eV per formula unit
DOS(E_F)   2.727 states/eV/f.u.
Size of the total moment   2.9 Bohr magnetons per cell
Mass density   6.51 g/cm³

Entry 9:
DFT (PBE) results for GaGeTe2 after structural relaxation.

a b c (Å): 7.346 7.346 7.346
angles (deg): 90.00 90.00 90.00
Space group Fm-3m (No. 225)
Symmetry-distinct sites (fractional):
Ga  0.000  0.000  0.000 (multiplicity 4)
Ge  0.000  0.000  0.500 (multiplicity 4)
Te  0.250  0.250  0.250 (multiplicity 8)

## Properties
Energy relative to the elements, uncorrected   0.64 eV per formula unit
DOS(E_F)   3.378 states/eV/f.u.
Size of the total moment   0.0 Bohr magnetons per cell
Mass density   6.66 g/cm³

Entry 10:
DFT (PBE) results for LiDy8Cd2 after structural relaxation.

a b c (Å): 17.748 5.307 6.974
angles (deg): 90.00 106.58 90.00
Space group C2/m (No. 12)
Symmetry-distinct sites (fractional):
Li  0.000  0.000  0.000 (multiplicity 2)
Dy  0.024  0.500  0.770 (multiplicity 4)
Dy  0.094  0.000  0.456 (multiplicity 4)
Dy  0.161  0.000  0.960 (multiplicity 4)
Dy  0.191  0.500  0.281 (multiplicity 4)
Cd  0.189  0.500  0.711 (multiplicity 4)

## Properties
DOS(E_F)   10.500 states/eV/f.u.
Size of the total moment   0.0 Bohr magnetons per cell
Mass density   8.08 g/cm³
Formation enthalpy at 0 K   -47 meV/atom

Entry 11:
DFT (PBE) results for Pm12Sm2Tm after structural relaxation.

a b c (Å): 6.548 6.548 25.374
angles (deg): 90.00 90.00 90.00
Space group P4/nbm (No. 125, origin choice 2)
Symmetry-distinct sites (fractional):
Pm  0.065  0.565  0.113 (multiplicity 8)
Pm  0.083  0.583  0.562 (multiplicity 8)
Pm  0.250  0.250  0.214 (multiplicity 4)
Pm  0.250  0.250  0.337 (multiplicity 4)
Sm  0.250  0.750  0.269 (multiplicity 4)
Tm  0.250  0.750  0.000 (multiplicity 2)

## Properties
DOS(E_F)   20.036 states/eV/f.u.
Size of the total moment   0.0 Bohr magnetons per cell
Mass density   6.74 g/cm³
Formation enthalpy at 0 K   318 meV/atom

Entry 12:
DFT (PBE) results for Ac2Ce2Ge4Ir after structural relaxation.

a b c (Å): 7.450 7.450 8.316
angles (deg): 90.00 90.00 90.00
Space group I4/mmm (No. 139)
Symmetry-distinct sites (fractional):
Ac  0.000  0.500  0.250 (multiplicity 4)
Ce  0.000  0.000  0.168 (multiplicity 4)
Ge  0.241  0.241  0.500 (multiplicity 8)
Ir  0.000  0.000  0.500 (multiplicity 2)

## Properties
DOS(E_F)   6.745 states/eV/f.u.
Size of the total moment   3.0 Bohr magnetons per cell
Mass density   8.76 g/cm³
Formation enthalpy at 0 K   -536 meV/atom

Entry 13:
DFT (PBE) results for ScSbAu2 after structural relaxation.

a b c (Å): 3.660 3.862 5.903
angles (deg): 90.00 90.00 90.00
Space group Pmmm (No. 47)
Symmetry-distinct sites (fractional):
Sc  0.000  0.000  0.000 (multiplicity 1)
Sb  0.000  0.000  0.500 (multiplicity 1)
Au  0.500  0.500  0.237 (multiplicity 2)

## Properties
Energy relative to the elements, uncorrected   -2.00 eV per formula unit
DOS(E_F)   1.754 states/eV/f.u.
Size of the total moment   0.0 Bohr magnetons per cell
Mass density   11.16 g/cm³

Entry 14:
DFT (PBE) results for CsCaC2 after structural relaxation.

a b c (Å): 6.921 6.921 6.921
angles (deg): 90.00 90.00 90.00
Space group Fm-3m (No. 225)
Symmetry-distinct sites (fractional):
Cs  0.000  0.000  0.000 (multiplicity 4)
Ca  0.000  0.000  0.500 (multiplicity 4)
C  0.250  0.250  0.250 (multiplicity 8)

## Properties
DOS(E_F)   3.852 states/eV/f.u.
Size of the total moment   4.7 Bohr magnetons per cell
Mass density   3.95 g/cm³
Formation enthalpy at 0 K   2225 meV/atom

Entry 15:
DFT (PBE) results for Th2GaSiRh6 after structural relaxation.

a b c (Å): 9.101 9.101 9.101
angles (deg): 90.00 90.00 90.00
Space group Fm-3m (No. 225)
Symmetry-distinct sites (fractional):
Th  0.250  0.250  0.250 (multiplicity 8)
Ga  0.000  0.000  0.000 (multiplicity 4)
Si  0.000  0.000  0.500 (multiplicity 4)
Rh  0.000  0.000  0.256 (multiplicity 24)

## Properties
Energy relative to the elements, uncorrected   -5.73 eV per formula unit
DOS(E_F)   7.402 states/eV/f.u.
Size of the total moment   0.0 Bohr magnetons per cell
Mass density   10.39 g/cm³

Entry 16:
DFT (PBE) results for NbSeO5F after structural relaxation.

a b c (Å): 7.439 7.661 7.643
angles (deg): 90.00 111.33 90.00
Space group C2/c (No. 15)
Symmetry-distinct sites (fractional):
Nb  0.000  0.000  0.000 (multiplicity 4)
Se  0.000  0.375  0.250 (multiplicity 4)
O  0.000  0.055  0.750 (multiplicity 4)
O  0.086  0.254  0.110 (multiplicity 8)
O  0.231  0.414  0.427 (multiplicity 8)
F  0.000  0.392  0.750 (multiplicity 4)

## Properties
Energy relative to the elements, uncorrected   -10.91 eV per formula unit
Size of the total moment   0.0 Bohr magnetons per cell
Mass density   4.43 g/cm³

Entry 17:
DFT (PBE) results for Nd6DyEr3 after structural relaxation.

a b c (Å): 10.969 19.348 6.359
angles (deg): 90.00 90.00 90.00
Space group Cmc2_1 (No. 36)
Symmetry-distinct sites (fractional):
Nd  0.000  0.036  0.000 (multiplicity 4)
Nd  0.000  0.281  0.237 (multiplicity 4)
Nd  0.170  0.458  0.342 (multiplicity 8)
Nd  0.230  0.289  0.531 (multiplicity 8)
Dy  0.000  0.195  0.778 (multiplicity 4)
Er  0.000  0.386  0.806 (multiplicity 4)
Er  0.168  0.114  0.421 (multiplicity 8)

## Properties
DOS(E_F)   14.025 states/eV/f.u.
Size of the total moment   0.0 Bohr magnetons per cell
Mass density   7.53 g/cm³
Formation enthalpy at 0 K   143 meV/atom

Entry 18:
DFT (PBE) results for PrZn2Ga4Ni after structural relaxation.

a b c (Å): 4.3092 4.3092 26.6245
angles (deg): 90.00 90.00 120.00
Space group R-3m (No. 166, hexagonal axes)
Symmetry-distinct sites (fractional):
Pr  0.0000  0.0000  0.0000 (multiplicity 3)
Zn  0.0000  0.0000  0.2506 (multiplicity 6)
Ga  0.0000  0.0000  0.1367 (multiplicity 6)
Ga  0.0000  0.0000  0.4048 (multiplicity 6)
Ni  0.0000  0.0000  0.5000 (multiplicity 3)

## Properties
DOS(E_F)   2.584 states/eV/f.u.
Size of the total moment   0.0 Bohr magnetons per cell
Mass density   7.09 g/cm³
Formation enthalpy at 0 K   -285 meV/atom

Entry 19:
DFT (PBE) results for BaTc2Ag after structural relaxation.

a b c (Å): 3.0941 3.0941 30.1531
angles (deg): 90.00 90.00 120.00
Space group R3m (No. 160, hexagonal axes)
Symmetry-distinct sites (fractional):
Ba  0.0000  0.0000  0.0000 (multiplicity 3)
Tc  0.0000  0.0000  0.2354 (multiplicity 3)
Tc  0.0000  0.0000  0.5104 (multiplicity 3)
Ag  0.0000  0.0000  0.7661 (multiplicity 3)

## Properties
DOS(E_F)   5.017 states/eV/f.u.
Size of the total moment   0.0 Bohr magnetons per cell
Mass density   8.79 g/cm³
Formation enthalpy at 0 K   804 meV/atom

Entry 20:
DFT (PBE) results for PrNd2Tm3Bi6 after structural relaxation.

a b c (Å): 19.716 4.532 9.047
angles (deg): 90.00 103.04 90.00
Space group C2/m (No. 12)
Symmetry-distinct sites (fractional):
Pr  0.000  0.000  0.000 (multiplicity 2)
Nd  0.167  0.500  0.333 (multiplicity 4)
Tm  0.000  0.000  0.500 (multiplicity 2)
Tm  0.166  0.500  0.833 (multiplicity 4)
Bi  0.003  0.500  0.742 (multiplicity 4)
Bi  0.164  0.000  0.590 (multiplicity 4)
Bi  0.170  0.000  0.077 (multiplicity 4)

## Properties
DOS(E_F)   2.018 states/eV/f.u.
Size of the total moment   0.0 Bohr magnetons per cell
Mass density   9.24 g/cm³
Formation enthalpy at 0 K   -863 meV/atom